1.
The following is a SCAN calculation of a crystal of BaGa3Tc relaxed with PBEsol, from the Alexandria database.

Cell: 4.8908 6.8055 6.8055 Å, 90.00 90.00 90.00°
With the nearest neighbours (Å) after each atom.
Positions (direct):
Tc (0.0814, 0.0000, 0.5000)  6 Ga 2.42-2.48
Tc (0.9186, 0.5000, 0.0000)  6 Ga 2.42-2.48
Ga (0.0000, 0.7500, 0.2500)  2 Tc 2.44
Ga (0.0000, 0.2500, 0.2500)  2 Tc 2.44
Ga (0.0000, 0.2500, 0.7500)  2 Tc 2.44
Ga (0.4247, 0.5000, 0.0000)  2 Tc 2.42-2.48
Ga (0.0000, 0.7500, 0.7500)  2 Tc 2.44
Ga (0.5753, 0.0000, 0.5000)  2 Tc 2.42-2.48
Ba (0.5000, 0.5000, 0.5000)  12 Ga 3.42-3.43
Ba (0.5000, 0.0000, 0.0000)  12 Ga 3.42-3.43

Values from the calculation:
Volume, Å³ per cell: 226.5
Calculated formation energy, eV per atom: -0.52

2.
The following is a SCAN calculation of a crystal of BaGa3Tc relaxed with PBEsol, from the Alexandria database.

Cell: 4.8533 4.8533 4.8533 Å, 90.00 90.00 90.00°
With the nearest neighbours (Å) after each atom.
Positions (direct):
Ba (0.5000, 0.5000, 0.5000)  12 Ga 3.43
Ga (0.0000, 0.5000, 0.0000)  2 Tc 2.43
Ga (0.0000, 0.0000, 0.5000)  2 Tc 2.43
Ga (0.5000, 0.0000, 0.0000)  2 Tc 2.43
Tc (0.0000, 0.0000, 0.0000)  6 Ga 2.43

Values from the calculation:
Volume, Å³ per cell: 114.3
Calculated formation energy, eV per atom: -0.52

3.
The following is a SCAN calculation of a crystal of Ba3TlGa relaxed with PBEsol, from the Alexandria database.

Cell: 6.5114 6.5114 6.5114 Å, 90.00 90.00 90.00°
With the nearest neighbours (Å) after each atom.
Positions (direct):
Tl (0.0000, 0.0000, 0.0000)  6 Ba 3.26
Ba (0.0000, 0.5000, 0.0000)  2 Tl 3.26
Ba (0.0000, 0.0000, 0.5000)  2 Tl 3.26
Ba (0.5000, 0.0000, 0.0000)  2 Tl 3.26
Ga (0.5000, 0.5000, 0.5000)  12 Ba 4.60

Values from the calculation:
Volume, Å³ per cell: 276.1
Calculated formation energy, eV per atom: 0.07

4.
The following is a SCAN calculation of a crystal of Ba2TlGa relaxed with PBEsol, from the Alexandria database.

Cell: 5.8094 5.8094 5.8094 Å, 60.00 60.00 60.00°
With the nearest neighbours (Å) after each atom.
Positions (direct):
Tl (0.5000, 0.5000, 0.5000)  8 Ba 3.56
Ba (0.2500, 0.2500, 0.2500)  4 Tl 3.56, 4 Ga 3.56
Ba (0.7500, 0.7500, 0.7500)  4 Ga 3.56, 4 Tl 3.56
Ga (0.0000, 0.0000, 0.0000)  8 Ba 3.56

Values from the calculation:
Volume, Å³ per cell: 138.6
Calculated formation energy, eV per atom: -0.45

5.
The following is a SCAN calculation of a crystal of Ba3ZnGa relaxed with PBEsol, from the Alexandria database.

Cell: 6.3135 6.3135 6.3135 Å, 90.00 90.00 90.00°
With the nearest neighbours (Å) after each atom.
Positions (direct):
Zn (0.5000, 0.5000, 0.5000)  12 Ba 4.46
Ba (0.0000, 0.5000, 0.0000)  2 Ga 3.16
Ba (0.0000, 0.0000, 0.5000)  2 Ga 3.16
Ba (0.5000, 0.0000, 0.0000)  2 Ga 3.16
Ga (0.0000, 0.0000, 0.0000)  6 Ba 3.16

Values from the calculation:
Volume, Å³ per cell: 251.7
Calculated formation energy, eV per atom: 0.14

6.
The following is a SCAN calculation of a crystal of BaZrGa3 relaxed with PBEsol, from the Alexandria database.

Cell: 5.2130 5.2130 5.2130 Å, 90.00 90.00 90.00°
With the nearest neighbours (Å) after each atom.
Positions (direct):
Ga (0.0000, 0.5000, 0.0000)  2 Zr 2.61
Ga (0.0000, 0.0000, 0.5000)  2 Zr 2.61
Ga (0.5000, 0.0000, 0.0000)  2 Zr 2.61
Ba (0.5000, 0.5000, 0.5000)  12 Ga 3.69
Zr (0.0000, 0.0000, 0.0000)  6 Ga 2.61

Values from the calculation:
Volume, Å³ per cell: 141.7
Calculated formation energy, eV per atom: -0.20

7.
The following is a SCAN calculation of a crystal of KBaGdMo3O12 relaxed with PBEsol, from the Alexandria database.

Cell: 5.2852 10.6044 10.6044 Å, 69.51 77.18 77.18°
With the nearest neighbours (Å) after each atom.
Positions (direct):
K (0.8340, 0.0347, 0.2929)  8 O 2.69-2.92
K (0.1660, 0.7071, 0.9653)  8 O 2.69-2.92
Ba (0.6750, 0.9568, 0.7107)  8 O 2.68-2.85
Ba (0.3250, 0.2893, 0.0432)  8 O 2.68-2.85
Gd (0.0000, 0.6224, 0.3776)  8 O 2.32-2.47
Gd (0.5000, 0.3839, 0.6161)  8 O 2.36-2.42
Mo (0.5000, 0.8530, 0.1470)  4 O 1.75-1.79
Mo (0.0000, 0.1517, 0.8483)  4 O 1.75-1.79
Mo (0.1511, 0.2359, 0.4530)  4 O 1.73-1.84
Mo (0.8489, 0.5470, 0.7641)  4 O 1.73-1.84
Mo (0.3521, 0.7642, 0.5492)  4 O 1.74-1.85
Mo (0.6479, 0.4508, 0.2358)  4 O 1.74-1.85
O (0.4005, 0.4605, 0.3877)  1 Mo 1.85
O (0.5995, 0.6123, 0.5395)  1 Mo 1.85
O (0.0966, 0.5374, 0.6136)  1 Mo 1.84
O (0.9034, 0.3864, 0.4626)  1 Mo 1.84
O (0.6787, 0.8615, 0.9849)  1 Mo 1.75
O (0.3213, 0.0151, 0.1385)  1 Mo 1.75
O (0.8229, 0.1468, 0.0096)  1 Mo 1.75
O (0.1771, 0.9904, 0.8532)  1 Mo 1.75
O (0.8763, 0.3009, 0.2425)  1 Mo 1.76
O (0.1237, 0.7575, 0.6991)  1 Mo 1.76
O (0.6254, 0.6984, 0.7544)  1 Mo 1.76
O (0.3746, 0.2456, 0.3016)  1 Mo 1.76
O (0.7146, 0.8106, 0.2698)  1 Mo 1.79
O (0.2854, 0.7302, 0.1894)  1 Mo 1.79
O (0.7796, 0.1897, 0.7288)  1 Mo 1.79
O (0.2204, 0.2712, 0.8103)  1 Mo 1.79
O (0.8458, 0.5767, 0.2034)  1 Mo 1.77
O (0.1542, 0.7966, 0.4233)  1 Mo 1.77
O (0.6489, 0.4195, 0.7996)  1 Mo 1.79
O (0.3511, 0.2004, 0.5805)  1 Mo 1.79
O (0.5048, 0.9050, 0.5111)  1 Mo 1.74
O (0.4952, 0.4889, 0.0950)  1 Mo 1.74
O (0.9973, 0.0955, 0.4939)  1 Mo 1.73
O (0.0027, 0.5061, 0.9045)  1 Mo 1.73

Values from the calculation:
Uncorrected formation energy, kJ per mole of atoms: -258.0
Volume, Å³ per cell: 536.1

8.
The following is a SCAN calculation of a crystal of BaGd2Mn2O7 relaxed with PBEsol, from the Alexandria database.

Cell: 5.5224 5.5224 19.6616 Å, 90.00 90.00 90.00°
With the nearest neighbours (Å) after each atom.
Positions (direct):
Ba (0.2456, 0.2456, 0.0000)  10 O 2.69-2.93
Ba (0.2544, 0.7456, 0.5000)  10 O 2.69-2.93
Ba (0.7456, 0.2544, 0.5000)  10 O 2.69-2.93
Ba (0.7544, 0.7544, 0.0000)  10 O 2.69-2.93
Gd (0.2284, 0.2284, 0.1828)  7 O 2.21-2.44
Gd (0.2716, 0.7284, 0.6828)  7 O 2.21-2.44
Gd (0.7284, 0.2716, 0.6828)  7 O 2.21-2.44
Gd (0.7284, 0.2716, 0.3172)  7 O 2.21-2.44
Gd (0.2716, 0.7284, 0.3172)  7 O 2.21-2.44
Gd (0.7716, 0.7716, 0.1828)  7 O 2.21-2.44
Gd (0.2284, 0.2284, 0.8172)  7 O 2.21-2.44
Gd (0.7716, 0.7716, 0.8172)  7 O 2.21-2.44
Mn (0.2467, 0.2467, 0.3978)  6 O 1.96-2.14
Mn (0.2533, 0.7467, 0.8978)  6 O 1.96-2.14
Mn (0.7467, 0.2533, 0.8978)  6 O 1.96-2.14
Mn (0.7467, 0.2533, 0.1022)  6 O 1.96-2.14
Mn (0.2533, 0.7467, 0.1022)  6 O 1.96-2.14
Mn (0.7533, 0.7533, 0.3978)  6 O 1.96-2.14
Mn (0.2467, 0.2467, 0.6022)  6 O 1.96-2.14
Mn (0.7533, 0.7533, 0.6022)  6 O 1.96-2.14
O (0.2685, 0.7315, 0.0000)  2 Mn 2.01
O (0.7685, 0.7685, 0.5000)  2 Mn 2.01
O (0.2315, 0.2315, 0.5000)  2 Mn 2.01
O (0.7315, 0.2685, 0.0000)  2 Mn 2.01
O (0.0000, 0.5000, 0.3888)  2 Mn 1.96
O (0.0000, 0.5000, 0.8888)  2 Mn 1.96
O (0.5000, 0.0000, 0.1112)  2 Mn 1.96
O (0.5000, 0.0000, 0.6112)  2 Mn 1.96
O (0.0000, 0.5000, 0.6112)  2 Mn 1.96
O (0.0000, 0.5000, 0.1112)  2 Mn 1.96
O (0.5000, 0.0000, 0.8888)  2 Mn 1.96
O (0.5000, 0.0000, 0.3888)  2 Mn 1.96
O (0.0000, 0.0000, 0.0983)  2 Mn 1.98
O (0.5000, 0.5000, 0.5983)  2 Mn 1.98
O (0.5000, 0.5000, 0.4017)  2 Mn 1.98
O (0.0000, 0.0000, 0.9017)  2 Mn 1.98
O (0.0000, 0.0000, 0.3775)  2 Mn 1.97
O (0.5000, 0.5000, 0.8775)  2 Mn 1.97
O (0.5000, 0.5000, 0.1225)  2 Mn 1.97
O (0.0000, 0.0000, 0.6225)  2 Mn 1.97
O (0.3029, 0.3029, 0.2912)  1 Mn 2.14, 1 Gd 2.21
O (0.1971, 0.8029, 0.7912)  1 Mn 2.14, 1 Gd 2.21
O (0.8029, 0.1971, 0.7912)  1 Mn 2.14, 1 Gd 2.21
O (0.8029, 0.1971, 0.2088)  1 Mn 2.14, 1 Gd 2.21
O (0.1971, 0.8029, 0.2088)  1 Mn 2.14, 1 Gd 2.21
O (0.6971, 0.6971, 0.2912)  1 Mn 2.14, 1 Gd 2.21
O (0.3029, 0.3029, 0.7088)  1 Mn 2.14, 1 Gd 2.21
O (0.6971, 0.6971, 0.7088)  1 Mn 2.14, 1 Gd 2.21

Values from the calculation:
Uncorrected formation energy, kJ per mole of atoms: -290.6
Volume, Å³ per cell: 599.6

9.
The following is a SCAN calculation of a crystal of Ba2GdMoO6 relaxed with PBEsol, from the Alexandria database.

Cell: 5.9411 5.9411 5.9436 Å, 90.04 119.93 120.01°
With the nearest neighbours (Å) after each atom.
Positions (direct):
Mo (0.5000, 0.5000, 0.0000)  6 O 1.96
Gd (0.5000, 0.0000, 0.5000)  6 O 2.25
Ba (0.0002, 0.7502, 0.7504)  12 O 2.87-3.08
Ba (0.9998, 0.2498, 0.2496)  12 O 2.87-3.08
O (0.5003, 0.7418, 0.7768)  1 Mo 1.96
O (0.9650, 0.7235, 0.2232)  1 Mo 1.96
O (0.4997, 0.2582, 0.2232)  1 Mo 1.96
O (0.0350, 0.2765, 0.7768)  1 Mo 1.96
O (0.4819, 0.2676, 0.7494)  1 Mo 1.96
O (0.5181, 0.7324, 0.2506)  1 Mo 1.96

Values from the calculation:
Uncorrected formation energy, kJ per mole of atoms: -290.8
Volume, Å³ per cell: 148.4